Record 1
# HgBPt3

A geometry-optimized HgBPt3 structure (PBE, Alexandria).

Cell: 8.2097 8.2097 8.2097 Å, 35.27 35.27 35.27°
Last column: nearest neighbours and their distance in Å.
Positions (direct):
Hg: 0.1674 0.1674 0.1674  3 Hg 2.87, 6 Pt 2.96-2.97
Hg: 0.8326 0.8326 0.8326  3 Hg 2.87, 6 Pt 2.96-2.97
B: 0.3338 0.3338 0.3338  6 Pt 2.16-2.17
B: 0.6662 0.6662 0.6662  6 Pt 2.16-2.17
Pt: 0.0593 0.7320 0.3881  2 B 2.16-2.17
Pt: 0.2680 0.6119 0.9407  2 B 2.16-2.17
Pt: 0.3881 0.0593 0.7320  2 B 2.16-2.17
Pt: 0.6119 0.9407 0.2680  2 B 2.16-2.17
Pt: 0.7320 0.3881 0.0593  2 B 2.16-2.17
Pt: 0.9407 0.2680 0.6119  2 B 2.16-2.17

Results
total magnetic moment	0.00	μB per formula unit
space group	R-3 (148)
formation energy from the elements	-99	meV per atom

=====

Record 2
# HgBPt3

A geometry-optimized HgBPt3 structure (PBE, Alexandria).

Cell: 5.7598 5.7598 6.3565 Å, 116.56 116.56 59.90°
Last column: nearest neighbours and their distance in Å.
Positions (direct):
Hg: 0.0951 0.0951 0.2965  9 Pt 2.88-2.99
Hg: 0.9049 0.9049 0.7035  9 Pt 2.88-2.99
B: 0.3327 0.3327 0.9950  6 Pt 2.17-2.20
B: 0.6673 0.6673 0.0050  6 Pt 2.17-2.20
Pt: 0.0887 0.5798 0.2600  2 B 2.18-2.19
Pt: 0.4179 0.4179 0.7380  2 B 2.17-2.20
Pt: 0.4202 0.9113 0.7400  2 B 2.18-2.19
Pt: 0.5798 0.0887 0.2600  2 B 2.18-2.19
Pt: 0.5821 0.5821 0.2620  2 B 2.17-2.20
Pt: 0.9113 0.4202 0.7400  2 B 2.18-2.19

Results
total magnetic moment	0.00	μB per formula unit
space group	C2/m (12)
formation energy from the elements	-209	meV per atom

=====

Record 3
# Hg2B5Pt12

A geometry-optimized Hg2B5Pt12 structure (PBE, Alexandria).

Cell: 6.4070 6.4070 8.9439 Å, 93.96 93.96 52.58°
Last column: nearest neighbours and their distance in Å.
Positions (direct):
Hg: 0.2480 0.7520 0.0000  2 Hg 2.81-2.86, 6 Pt 2.86-3.04, 2 B 3.13
Hg: 0.7520 0.2480 0.0000  2 Hg 2.81-2.86, 6 Pt 2.86-3.04, 2 B 3.13
B: 0.2106 0.2106 0.4024  5 Pt 2.10-2.22
B: 0.2427 0.2427 0.9962  4 Pt 2.06-2.07
B: 0.5000 0.5000 0.5000  6 Pt 2.04-2.21
B: 0.7573 0.7573 0.0038  4 Pt 2.06-2.07
B: 0.7894 0.7894 0.5976  5 Pt 2.10-2.22
Pt: 0.0228 0.5273 0.8380  2 B 2.06-2.07
Pt: 0.0401 0.0401 0.3006  1 B 2.10
Pt: 0.1075 0.6066 0.4345  3 B 2.20-2.22
Pt: 0.3934 0.8925 0.5655  3 B 2.20-2.22
Pt: 0.4622 0.4622 0.7189  1 B 2.04
Pt: 0.4727 0.9772 0.1620  2 B 2.06-2.07
Pt: 0.5273 0.0228 0.8380  2 B 2.06-2.07
Pt: 0.5378 0.5378 0.2811  1 B 2.04
Pt: 0.6066 0.1075 0.4345  3 B 2.20-2.22
Pt: 0.8925 0.3934 0.5655  3 B 2.20-2.22
Pt: 0.9599 0.9599 0.6994  1 B 2.10
Pt: 0.9772 0.4727 0.1620  2 B 2.06-2.07

Results
total magnetic moment	0.00	μB per formula unit
space group	C2/m (12)
formation energy from the elements	-68	meV per atom

=====

Record 4
# HgBPt2

A geometry-optimized HgBPt2 structure (PBE, Alexandria).

Cell: 3.2675 3.2675 6.7520 Å, 90.00 90.00 120.00°
Last column: nearest neighbours and their distance in Å.
Positions (direct):
Hg: 0.0000 0.0000 0.0000  6 Pt 2.94, 6 Hg 3.27
B: 0.0000 0.0000 0.5000  6 Pt 2.19
Pt: 0.3333 0.6667 0.6660  3 B 2.19
Pt: 0.6667 0.3333 0.3340  3 B 2.19

Results
total magnetic moment	0.00	μB per formula unit
space group	P-3m1 (164)
formation energy from the elements	-51	meV per atom